Computed, not measured: Tb2Al after structural relaxation at the PBE-GGA level of DFT.

Space group: Fd-3m (227)

Cell: 9.0783 9.0783 9.0783 Å, 60.00 60.00 60.00°
Element x y z (fractional)
Al: 0.2500 0.2500 0.2500
Al: 0.5000 0.5000 0.5000
Tb: 0.3750 0.3750 0.3750
Tb: 0.8750 0.3750 0.3750
Tb: 0.3750 0.8750 0.3750
Tb: 0.3750 0.3750 0.8750

***

Computed, not measured: Tb2Al after structural relaxation at the PBE-GGA level of DFT.

Space group: Fd-3m (227)

Cell: 6.1777 6.1777 6.1777 Å, 60.00 60.00 60.00°
Element x y z (fractional)
Al: 0.0000 0.0000 0.0000
Al: 0.2500 0.2500 0.2500
Tb: 0.6250 0.6250 0.1250
Tb: 0.6250 0.1250 0.6250
Tb: 0.1250 0.6250 0.6250
Tb: 0.6250 0.6250 0.6250

***

Computed, not measured: Tb5Al after structural relaxation at the PBE-GGA level of DFT.

Space group: P6/mmm (191)

Cell: 6.2912 6.2912 5.7267 Å, 90.00 90.00 120.00°
Element x y z (fractional)
Al: 0.0000 0.0000 0.0000
Tb: 0.6667 0.3333 0.0000
Tb: 0.3333 0.6667 0.0000
Tb: 0.5000 0.0000 0.5000
Tb: 0.0000 0.5000 0.5000
Tb: 0.5000 0.5000 0.5000

***

Computed, not measured: TbAlTc after structural relaxation at the PBE-GGA level of DFT.

Space group: F-43m (216)

Cell: 4.5034 4.5034 4.5034 Å, 60.00 60.00 60.00°
Element x y z (fractional)
Al: 0.0000 0.0000 0.0000
Tb: 0.2500 0.2500 0.2500
Tc: 0.7500 0.7500 0.7500

***

Computed, not measured: TbAlTlTe3 after structural relaxation at the PBE-GGA level of DFT.

Energy above the lowest structure with this stoichiometry (meV/atom): 4
Space group: Pnma (62)

Cell: 12.0310 4.9780 12.7858 Å, 90.00 90.00 90.00°
Element x y z (fractional)
Al: 0.7386 0.7500 0.2242
Al: 0.2386 0.7500 0.2758
Al: 0.7614 0.2500 0.7242
Al: 0.2614 0.2500 0.7758
Tb: 0.4730 0.2500 0.1820
Tb: 0.9730 0.2500 0.3180
Tb: 0.0270 0.7500 0.6820
Tb: 0.5270 0.7500 0.8180
Te: 0.5882 0.7500 0.0666
Te: 0.9482 0.7500 0.1557
Te: 0.2095 0.2500 0.1908
Te: 0.7095 0.2500 0.3092
Te: 0.4482 0.7500 0.3443
Te: 0.0882 0.7500 0.4334
Te: 0.9118 0.2500 0.5666
Te: 0.5518 0.2500 0.6558
Te: 0.2905 0.7500 0.6908
Te: 0.7905 0.7500 0.8092
Te: 0.0518 0.2500 0.8443
Te: 0.4118 0.2500 0.9334
Tl: 0.8145 0.2500 0.0039
Tl: 0.3145 0.2500 0.4961
Tl: 0.6855 0.7500 0.5039
Tl: 0.1855 0.7500 0.9961

***

Computed, not measured: TbAlTlTe3 after structural relaxation at the PBE-GGA level of DFT.

Energy above the lowest structure with this stoichiometry (meV/atom): 0
Space group: Cmcm (63)

Cell: 8.0087 8.0087 11.5173 Å, 90.00 90.00 147.84°
Element x y z (fractional)
Al: 0.9662 0.0338 0.2500
Al: 0.0338 0.9662 0.7500
Tb: 0.5000 0.5000 0.0000
Tb: 0.5000 0.5000 0.5000
Te: 0.8641 0.1359 0.0600
Te: 0.5749 0.4251 0.2500
Te: 0.8641 0.1359 0.4400
Te: 0.1359 0.8641 0.5600
Te: 0.4251 0.5749 0.7500
Te: 0.1359 0.8641 0.9400
Tl: 0.2625 0.7375 0.2500
Tl: 0.7375 0.2625 0.7500

***

Computed, not measured: TbAlTl after structural relaxation at the PBE-GGA level of DFT.

Energy above the lowest structure with this stoichiometry (meV/atom): 0
Space group: F-43m (216)

Cell: 4.8217 4.8217 4.8217 Å, 60.00 60.00 60.00°
Element x y z (fractional)
Al: 0.0000 0.0000 0.0000
Tb: 0.2500 0.2500 0.2500
Tl: 0.7500 0.7500 0.7500

***

Computed, not measured: Tb2Al3Tl after structural relaxation at the PBE-GGA level of DFT.

Space group: Cmmm (65)

Cell: 7.2231 7.2231 4.5843 Å, 90.00 90.00 144.81°
Element x y z (fractional)
Al: 0.6828 0.3172 0.0000
Al: 0.3172 0.6828 0.0000
Al: 0.5000 0.5000 0.5000
Tb: 0.8445 0.1555 0.5000
Tb: 0.1555 0.8445 0.5000
Tl: 0.0000 0.0000 0.0000

***

no.,energy (eV per cell),total magnetization (μB/cell)
1,-16.466,0.0
2,-23.836,0.0
3,-23.619,0.2
4,-17.923,0.0
5,-97.139,0.0
6,-48.617,0.0
7,-10.899,0.0
8,-24.639,0.0